First-principles (PBE with a Hubbard U) data for a relaxed W3BrO crystal, as listed in Alexandria via LeMat-Bulk.

Space group: Pm-3m, No. 221
E_tot: -21.015 eV for the cell shown

a = 4.361 Å, b = 4.361 Å, c = 4.361 Å
α = 90.00°, β = 90.00°, γ = 90.00°
Fractional coordinates of all 5 atoms:
W  0.000  0.000  0.500
W  0.000  0.500  0.000
W  0.500  0.000  0.000
Br  0.500  0.500  0.500
O  0.000  0.000  0.000